# ScPt

A relaxed structure of ScPt (GGA-PBE, Alexandria via LeMat-Bulk).

POSCAR file:
```
ScPt
1.0
-2.2929 5.7316 -7.6375
-8.9422 1.4664 3.7851
1.2830 3.0023 1.8679
Sc Pt
8 8
Direct
0.3504 0.1516 0.0000
0.6496 0.8484 0.0000
0.8484 0.3504 0.0000
0.1516 0.6496 0.0000
0.8504 0.6516 0.5000
0.1496 0.3484 0.5000
0.3484 0.8504 0.5000
0.6516 0.1496 0.5000
0.1836 0.9272 0.0000
0.8164 0.0728 0.0000
0.0728 0.1836 0.0000
0.9272 0.8164 0.0000
0.6836 0.4272 0.5000
0.3164 0.5728 0.5000
0.5728 0.6836 0.5000
0.4272 0.3164 0.5000
```

Summary:
The formation enthalpy at 0 K comes out at -793 meV/atom. Its uncorrected energy is -6.9788 eV/atom.